No. 1
# Ac6NiOs

A geometry-optimized Ac6NiOs structure (GGA-PBE, Alexandria).

Unit cell a=8.1045 b=8.1045 c=8.1045 alpha=53.27 beta=53.27 gamma=53.27
Atoms (fractional coordinates):
Ac  0.0892  0.4137  0.7475
Ac  0.2525  0.9108  0.5863
Ac  0.4137  0.7475  0.0892
Ac  0.5863  0.2525  0.9108
Ac  0.7475  0.0892  0.4137
Ac  0.9108  0.5863  0.2525
Ni  0.0000  0.0000  0.0000
Os  0.5000  0.5000  0.5000

Summary:
Energy relative to the elements (eV/atom): -0.09
Spin magnetization (μB/f.u.): 0.000

***

No. 2
# Y2HoPb9

A geometry-optimized Y2HoPb9 structure (GGA-PBE, Alexandria).

Unit cell a=4.8811 b=4.8811 c=14.6489 alpha=90.00 beta=90.00 gamma=90.00
Atoms (fractional coordinates):
Y  0.0000  0.0000  0.1672
Y  0.0000  0.0000  0.8328
Ho  0.0000  0.0000  0.5000
Pb  0.0000  0.5000  0.0000
Pb  0.0000  0.5000  0.3342
Pb  0.0000  0.5000  0.6658
Pb  0.5000  0.0000  0.0000
Pb  0.5000  0.0000  0.3342
Pb  0.5000  0.0000  0.6658
Pb  0.5000  0.5000  0.1671
Pb  0.5000  0.5000  0.5000
Pb  0.5000  0.5000  0.8329

Summary:
Energy relative to the elements (eV/atom): -0.28
Spin magnetization (μB/f.u.): 0.000

***

No. 3
# RbIn2Hg2Pb2

A geometry-optimized RbIn2Hg2Pb2 structure (GGA-PBE, Alexandria).

Unit cell a=10.1564 b=10.1564 c=10.1564 alpha=30.27 beta=30.27 gamma=30.27
Atoms (fractional coordinates):
Rb  0.0000  0.0000  0.0000
In  0.4369  0.4369  0.4369
In  0.5631  0.5631  0.5631
Hg  0.2574  0.2574  0.2574
Hg  0.7426  0.7426  0.7426
Pb  0.1404  0.1404  0.1404
Pb  0.8596  0.8596  0.8596

Summary:
Energy relative to the elements (eV/atom): -0.09
Spin magnetization (μB/f.u.): 0.000

***

No. 4
# FeCo5Ni12

A geometry-optimized FeCo5Ni12 structure (GGA-PBE, Alexandria).

Unit cell a=7.4906 b=7.4906 c=3.5072 alpha=90.00 beta=90.00 gamma=90.38
Atoms (fractional coordinates):
Fe  0.0000  0.0000  0.0000
Co  0.1691  0.1691  0.5000
Co  0.3332  0.3332  0.0000
Co  0.5000  0.5000  0.5000
Co  0.6668  0.6668  0.0000
Co  0.8309  0.8309  0.5000
Ni  0.0015  0.3322  0.0000
Ni  0.1655  0.8345  0.5000
Ni  0.1682  0.4991  0.5000
Ni  0.3322  0.0015  0.0000
Ni  0.3352  0.6648  0.0000
Ni  0.4991  0.1682  0.5000
Ni  0.5009  0.8318  0.5000
Ni  0.6648  0.3352  0.0000
Ni  0.6678  0.9985  0.0000
Ni  0.8318  0.5009  0.5000
Ni  0.8345  0.1655  0.5000
Ni  0.9985  0.6678  0.0000

Summary:
Energy relative to the elements (eV/atom): -0.02
Spin magnetization (μB/f.u.): 18.943

***

No. 5
# Ag2SnSe3

A geometry-optimized Ag2SnSe3 structure (GGA-PBE, Alexandria).

Unit cell a=7.4781 b=7.4781 c=28.4356 alpha=92.76 beta=92.76 gamma=119.64
Atoms (fractional coordinates):
Ag  0.0763  0.9237  0.5000
Ag  0.1324  0.6417  0.6213
Ag  0.1757  0.3311  0.7468
Ag  0.2420  0.7420  0.9968
Ag  0.2981  0.4734  0.1248
Ag  0.3311  0.1757  0.2468
Ag  0.3958  0.8852  0.3734
Ag  0.4734  0.2981  0.6248
Ag  0.5461  0.7093  0.8729
Ag  0.6417  0.1324  0.1213
Ag  0.6767  0.8658  0.2503
Ag  0.7093  0.5461  0.3729
Ag  0.7420  0.2420  0.4968
Ag  0.8658  0.6767  0.7503
Ag  0.8852  0.3958  0.8734
Ag  0.9237  0.0763  0.0000
Sn  0.0080  0.4944  0.2430
Sn  0.0628  0.2167  0.3683
Sn  0.2167  0.0628  0.8683
Sn  0.4384  0.6050  0.4931
Sn  0.4944  0.0080  0.7430
Sn  0.6050  0.4384  0.9931
Sn  0.7999  0.9781  0.6186
Sn  0.9781  0.7999  0.1186
Se  0.0415  0.5416  0.3384
Se  0.0853  0.2580  0.4634
Se  0.1182  0.9672  0.5930
Se  0.1759  0.6620  0.7146
Se  0.2003  0.3742  0.8402
Se  0.2580  0.0853  0.9634
Se  0.2939  0.7927  0.0901
Se  0.3397  0.5108  0.2182
Se  0.3742  0.2003  0.3402
Se  0.3967  0.9048  0.4663
Se  0.4565  0.6226  0.5883
Se  0.5108  0.3397  0.7182
Se  0.5416  0.0415  0.8384
Se  0.5756  0.7451  0.9665
Se  0.6226  0.4565  0.0883
Se  0.6620  0.1759  0.2146
Se  0.7241  0.8834  0.3429
Se  0.7451  0.5756  0.4665
Se  0.7927  0.2939  0.5901
Se  0.8208  0.9877  0.7135
Se  0.8834  0.7241  0.8429
Se  0.9048  0.3967  0.9663
Se  0.9672  0.1182  0.0930
Se  0.9877  0.8208  0.2135

Summary:
ΔE_f (raw) (eV/atom): -0.24
Spin magnetization (μB/f.u.): 0.000

***

No. 6
# MgAgSe2

A geometry-optimized MgAgSe2 structure (GGA-PBE, Alexandria).

Unit cell a=5.2691 b=5.2691 c=4.0682 alpha=110.70 beta=110.70 gamma=87.02
Atoms (fractional coordinates):
Mg  0.0000  0.0000  0.0000
Ag  0.5000  0.5000  0.0000
Se  0.0000  0.5000  0.0000
Se  0.5000  0.0000  0.0000

Summary:
ΔE_f (raw) (eV/atom): -0.37
Spin magnetization (μB/f.u.): 0.000

***

No. 7
# Ca2MgTa

A geometry-optimized Ca2MgTa structure (GGA-PBE, Alexandria).

Unit cell a=6.1286 b=6.1286 c=3.0884 alpha=90.10 beta=90.10 gamma=115.34
Atoms (fractional coordinates):
Ca  0.0000  0.5000  0.0000
Ca  0.5000  0.0000  0.0000
Mg  0.0000  0.0000  0.5000
Ta  0.5000  0.5000  0.5000

Summary:
Energy relative to the elements (eV/atom): 0.58
Spin magnetization (μB/f.u.): 0.248

***

No. 8
# TcP2Pb

A geometry-optimized TcP2Pb structure (GGA-PBE, Alexandria).

Unit cell a=3.0447 b=3.0447 c=7.8368 alpha=90.00 beta=90.00 gamma=90.00
Atoms (fractional coordinates):
Tc  0.0000  0.0000  0.0000
P  0.5000  0.5000  0.1744
P  0.5000  0.5000  0.8256
Pb  0.0000  0.0000  0.5000

Summary:
Energy relative to the elements (eV/atom): -0.05
Spin magnetization (μB/f.u.): 0.000

***

No. 9
# DyYGeAu

A geometry-optimized DyYGeAu structure (GGA-PBE, Alexandria).

Unit cell a=4.3181 b=5.8262 c=5.8262 alpha=40.83 beta=90.00 gamma=90.00
Atoms (fractional coordinates):
Dy  0.0000  0.0000  0.0000
Y  0.5000  0.7218  0.7218
Ge  0.5000  0.4469  0.4469
Au  0.0000  0.2770  0.2770

Summary:
Offset from the most stable computed form (meV/atom): 0.0
Energy relative to the elements (eV/atom): -0.87
Spin magnetization (μB/f.u.): 0.000

***

No. 10
# Hg2PSe

A geometry-optimized Hg2PSe structure (GGA-PBE, Alexandria).

Unit cell a=4.3668 b=7.1967 c=7.5568 alpha=111.41 beta=99.75 gamma=90.01
Atoms (fractional coordinates):
Hg  0.1652  0.3458  0.1086
Hg  0.2749  0.8733  0.2006
Hg  0.7251  0.1267  0.7994
Hg  0.8348  0.6542  0.8914
P  0.3664  0.5485  0.6193
P  0.6336  0.4515  0.3807
Se  0.2453  0.8550  0.6021
Se  0.7547  0.1450  0.3979

Summary:
ΔE_f (raw) (eV/atom): 0.04
Spin magnetization (μB/f.u.): 0.000

***

No. 11
# TmZr2Sc2

A geometry-optimized TmZr2Sc2 structure (GGA-PBE, Alexandria).

Unit cell a=8.5980 b=8.5980 c=3.3869 alpha=90.00 beta=90.00 gamma=90.00
Atoms (fractional coordinates):
Tm  0.0000  0.0000  0.0000
Tm  0.5000  0.5000  0.0000
Zr  0.1722  0.3278  0.5000
Zr  0.3278  0.8278  0.5000
Zr  0.6722  0.1722  0.5000
Zr  0.8278  0.6722  0.5000
Sc  0.1243  0.6243  0.0000
Sc  0.3757  0.1243  0.0000
Sc  0.6243  0.8757  0.0000
Sc  0.8757  0.3757  0.0000

Summary:
Offset from the most stable computed form (meV/atom): 39.2
Energy relative to the elements (eV/atom): 0.08
Spin magnetization (μB/f.u.): 0.000

***

No. 12
# InGaRu2

A geometry-optimized InGaRu2 structure (GGA-PBE, Alexandria).

Unit cell a=4.4385 b=4.4385 c=3.1433 alpha=90.00 beta=90.00 gamma=90.00
Atoms (fractional coordinates):
In  0.0000  0.0000  0.0000
Ga  0.5000  0.5000  0.0000
Ru  0.0000  0.5000  0.5000
Ru  0.5000  0.0000  0.5000

Summary:
Energy relative to the elements (eV/atom): -0.04
Spin magnetization (μB/f.u.): 0.001